1.
{"formula": "BeIO2F", "functional": "PBE", "state": "relaxed", "e_tot_ev_per_cell": -19.379, "spacegroup": "P4/mmm, No. 123", "e_form_raw_kj_per_mol_atoms": -44.7, "lattice_angstrom": [[3.420, 0.000, 0.000], [0.000, 3.420, 0.000], [0.000, 0.000, 6.724]], "species": ["O", "O", "I", "Be", "F"], "fractional_positions": [[0.000, 0.500, 0.000], [0.500, 0.000, 0.000], [0.000, 0.000, 0.500], [0.000, 0.000, 0.000], [0.500, 0.500, 0.500]]}

2.
{"formula": "KTlRh2Cl", "functional": "PBE", "state": "relaxed", "e_tot_ev_per_cell": -18.127, "spacegroup": "P4/mmm, No. 123", "e_form_raw_kj_per_mol_atoms": 36.4, "lattice_angstrom": [[-1.523, 0.661, -4.294], [4.617, -2.195, -1.976], [-1.958, -4.167, 0.053]], "species": ["K", "Rh", "Rh", "Tl", "Cl"], "fractional_positions": [[0.000, 0.500, 0.000], [0.000, 0.000, 0.500], [0.500, 0.000, 0.000], [0.500, 0.500, 0.500], [0.000, 0.000, 0.000]]}

3.
{"formula": "Pm2DySb3Rh4", "functional": "PBE", "state": "relaxed", "e_tot_ev_per_cell": -64.435, "spacegroup": "P-4m2, No. 115", "e_form_raw_kj_per_mol_atoms": -82.6, "lattice_angstrom": [[4.380, 0.000, 0.000], [0.000, 4.380, 0.000], [0.000, 0.000, 11.484]], "species": ["Rh", "Rh", "Rh", "Rh", "Pm", "Pm", "Sb", "Sb", "Sb", "Dy"], "fractional_positions": [[0.000, 0.000, 0.000], [0.000, 0.500, 0.354], [0.500, 0.000, 0.646], [0.500, 0.500, 0.000], [0.500, 0.000, 0.225], [0.000, 0.500, 0.775], [0.000, 0.500, 0.131], [0.500, 0.000, 0.869], [0.000, 0.000, 0.500], [0.500, 0.500, 0.500]]}

4.
{"formula": "Zr2UHg", "functional": "PBE", "state": "relaxed", "e_tot_ev_per_cell": -28.379, "spacegroup": "P4/mmm, No. 123", "e_above_lowest_polymorph_mev_per_atom": 0, "lattice_angstrom": [[-3.083, 0.088, 0.789], [1.169, -1.834, 4.770], [0.586, 4.909, 1.744]], "species": ["Zr", "Zr", "U", "Hg"], "fractional_positions": [[0.000, 0.000, 0.500], [0.000, 0.500, 0.000], [0.500, 0.500, 0.500], [0.500, 0.000, 0.000]]}